An optimized crystal structure of CaTbHo. Source: the Alexandria database, functional PBE.

```
CaTbHo
1.0
-1.2773 -2.9850 -3.6749
4.6639 -1.4477 -0.4451
-1.4714 -6.5280 5.8139
Ho Tb Ca
2 2 2
direct
0.0000 0.5000 0.7199 Ho
0.5000 0.0000 0.2801 Ho
0.5000 0.5000 0.0000 Tb
0.0000 0.0000 0.0000 Tb
0.5000 0.0000 0.6758 Ca
0.0000 0.5000 0.3242 Ca
```

- V: 213.16 Å³/cell
- Space group: P4/nmm
- Offset from the most stable computed form: 227.5 meV per atom
- Energy of formation from the pure elements: 0.28 eV/atom

***

An optimized crystal structure of MnZnNiGe. Source: the Alexandria database, functional PBE.

```
MnZnNiGe
1.0
-1.7399 2.7641 2.6506
-4.1755 0.0926 0.5002
-1.7169 -1.3334 3.6010
Ni Ge Mn Zn
1 1 1 1
direct
0.5000 0.5000 0.5000 Ni
0.7500 0.7500 0.7500 Ge
0.0000 0.0000 0.0000 Mn
0.2500 0.2500 0.2500 Zn
```

- V: 52.63 Å³/cell
- Space group: F-43m
- Energy of formation from the pure elements: -0.06 eV/atom

***

- Number 2 is which compound?
  MnZnNiGe

***

- What is the V in the second record?
  52.63 Å³/cell